Compound: RePt5
Source: Alexandria via LeMat-Bulk
Functional: SCAN
Structure: PBEsol geometry

**E above lowest polymorph**: 0.49 eV/f.u.
**Energy relative to the elements**: 0.35 kcal/mol of atoms

POSCAR file:
```
RePt5
1.0
5.145 -1.380 0.000
5.145 1.380 0.000
-1.775 0.000 6.304
Re Pt
1 5
Cartesian
0.000 0.000 0.000
2.815 0.000 0.330
2.249 0.000 4.223
4.938 0.000 4.590
6.265 0.000 2.022
9.065 0.000 2.421
```

=====

Compound: Fe2AgIr
Source: Alexandria via LeMat-Bulk
Functional: SCAN
Structure: PBEsol geometry

**Energy relative to the elements**: 3.51 kcal/mol of atoms

POSCAR file:
```
Fe2AgIr
1.0
1.417 -2.220 0.000
1.417 2.220 0.000
0.000 0.000 8.785
Fe Ag Ir
2 1 1
Cartesian
0.000 0.000 2.114
0.000 0.000 6.671
1.417 0.000 4.392
1.417 0.000 0.000
```

=====

Compound: TiBiOF2
Source: Alexandria via LeMat-Bulk
Functional: SCAN
Structure: PBEsol geometry

**Formation energy without anion corrections**: -1019 meV/atom

POSCAR file:
```
TiBiOF2
1.0
4.523 0.000 0.000
0.000 4.523 0.000
0.000 0.000 4.511
Ti Bi O F
1 1 1 2
Cartesian
0.000 0.000 0.000
2.261 2.261 2.256
2.261 2.261 0.000
0.000 2.261 2.256
2.261 0.000 2.256
```

=====

Compound: Sr3Rh16O32
Source: Alexandria via LeMat-Bulk
Functional: SCAN
Structure: PBEsol geometry

**Formation energy without anion corrections**: -1316 meV/atom

POSCAR file:
```
Sr3Rh16O32
1.0
8.026 0.000 0.000
1.840 8.406 0.000
2.840 3.236 8.620
Sr Rh O
3 16 32
Cartesian
0.000 0.000 0.000
4.949 5.189 5.874
7.387 6.571 3.049
1.181 3.026 1.486
4.544 9.398 5.870
4.032 8.338 2.656
3.458 5.369 2.567
5.778 7.573 7.965
4.457 2.277 3.710
3.934 1.231 0.480
5.204 6.671 0.392
7.522 8.844 5.790
6.210 3.569 1.556
8.543 5.764 6.937
7.935 2.789 6.860
7.444 1.719 3.631
10.809 8.114 8.030
10.308 7.051 4.797
9.709 4.071 4.723
4.517 9.165 7.884
4.057 6.509 8.081
2.056 1.288 1.185
2.789 4.125 1.282
3.428 6.963 1.325
4.688 9.593 3.933
4.093 6.726 3.914
3.560 3.995 4.017
6.271 10.437 5.716
5.790 7.777 5.946
6.681 5.850 7.659
6.152 3.109 7.768
7.383 8.662 7.729
4.600 2.478 1.768
5.808 8.043 1.724
5.336 5.305 1.863
6.183 3.309 3.559
7.549 9.076 3.778
8.425 7.122 5.469
7.918 4.395 5.623
9.121 9.944 5.570
8.553 4.169 8.183
9.209 7.011 8.232
9.911 9.832 8.319
7.941 4.619 1.423
7.478 1.975 1.616
10.185 8.407 3.339
9.045 2.823 3.429
9.702 5.665 3.477
10.960 8.306 6.090
10.354 5.440 6.050
9.828 2.712 6.189
```

=====

Compound: Mn2ReCl
Source: Alexandria via LeMat-Bulk
Functional: SCAN
Structure: PBEsol geometry

**E above lowest polymorph**: 1.55 eV/f.u.
**Formation energy without anion corrections**: 233 meV/atom

POSCAR file:
```
Mn2ReCl
1.0
2.742 0.000 0.000
0.000 2.742 0.000
0.000 0.000 6.663
Mn Re Cl
2 1 1
Cartesian
0.000 0.000 1.620
0.000 0.000 5.044
1.371 1.371 3.332
1.371 1.371 0.000
```

=====

Compound: Cd2FeOs
Source: Alexandria via LeMat-Bulk
Functional: SCAN
Structure: PBEsol geometry

**E above lowest polymorph**: 0.07 eV/f.u.
**Energy relative to the elements**: 11.38 kcal/mol of atoms

POSCAR file:
```
Cd2FeOs
1.0
1.400 0.808 9.250
-1.400 0.808 9.250
0.000 -1.617 9.250
Cd Fe Os
2 1 1
Cartesian
0.000 0.000 6.879
0.000 0.000 20.871
0.000 0.000 13.875
0.000 0.000 0.000
```

=====

Compound: Ba3P
Source: Alexandria via LeMat-Bulk
Functional: SCAN
Structure: PBEsol geometry

**E above lowest polymorph**: 0.31 eV/f.u.
**Energy relative to the elements**: -14.64 kcal/mol of atoms

POSCAR file:
```
Ba3P
1.0
-2.111 6.231 3.780
2.111 -6.231 3.780
2.111 6.231 -3.780
Ba P
3 1
Cartesian
0.000 0.000 0.000
2.111 4.216 -0.305
0.000 2.015 3.475
2.111 0.000 2.282
```

=====

Compound: ZrAlTc
Source: Alexandria via LeMat-Bulk
Functional: SCAN
Structure: PBEsol geometry

**E above lowest polymorph**: 1.46 eV/f.u.
**Energy relative to the elements**: -0.72 kcal/mol of atoms

POSCAR file:
```
ZrAlTc
1.0
0.000 3.069 3.069
3.069 0.000 3.069
3.069 3.069 0.000
Zr Al Tc
1 1 1
Cartesian
0.000 0.000 0.000
3.069 3.069 3.069
1.535 1.535 1.535
```

=====

Calculated volume for the records above, in order: 89; 55; 92; 582; 50; 63; 199; 58 Å³/cell
Density for the records above, in order: 21.56; 12.37; 5.59; 6.91; 10.99; 12.45; 3.70; 6.21 g/cm3